Entry 1:
TlCdBiN2 after structural relaxation. Source: the Alexandria database, functional PBE.

The value obtained for the density of states at the Fermi level is 0.654 states/eV/atom. As for the formation energy (no corrections): 158.0 kJ/mol of atoms. The uncorrected energy is -3.125 eV/atom. As for the crystal system: tetragonal.

The space group is P4/mmm (No. 123) and the conventional cell measures 4.4306, 4.4306 and 5.8102 Å, with angles of 90.00, 90.00 and 90.00 degrees. The inequivalent atoms are Tl at (0.0000, 0.0000, 0.0000), Cd at (0.0000, 0.0000, 0.5000), Bi at (0.5000, 0.5000, 0.0000) and N at (0.0000, 0.5000, 0.5000).

=====

Entry 2:
VCdBi2N after structural relaxation. Source: the Alexandria database, functional PBE.

The value obtained for the density of states at the Fermi level is 0.472 states/eV/atom. As for the formation energy (no corrections): 22.5 kJ/mol of atoms. The uncorrected energy is -4.991 eV/atom. As for the crystal system: tetragonal.

The space group is P4/mmm (No. 123) and the conventional cell measures 5.3031, 5.3031 and 3.8637 Å, with angles of 90.00, 90.00 and 90.00 degrees. The inequivalent atoms are V at (0.0000, 0.0000, 0.0000), Cd at (0.5000, 0.5000, 0.0000), Bi at (0.0000, 0.5000, 0.5000) and N at (0.0000, 0.0000, 0.5000).

=====

Entry 3:
NaCd4Bi2 after structural relaxation. Source: the Alexandria database, functional PBE.

As for the formation energy: -0.06 eV per atom. The value obtained for the density of states at the Fermi level is 0.290 states/eV/atom. The uncorrected energy is -1.878 eV/atom. As for the crystal system: orthorhombic.

The space group is Cmmm (No. 65) and the conventional cell measures 4.6154, 18.9682 and 4.5419 Å, with angles of 90.00, 90.00 and 90.00 degrees. The inequivalent atoms are Na at (0.0000, 0.0000, 0.0000), Cd at (0.0000, 0.1912, 0.5000), Cd at (0.0000, 0.3034, 0.0000) and Bi at (0.0000, 0.4149, 0.5000).

=====

Entry 4:
NaCdBi2 after structural relaxation. Source: the Alexandria database, functional PBE.

As for the formation energy: -0.12 eV per atom. The value obtained for the density of states at the Fermi level is 0.302 states/eV/atom. The uncorrected energy is -2.614 eV/atom. As for the crystal system: monoclinic.

The space group is C2/c (No. 15) and the conventional cell measures 16.8142, 3.4253 and 10.3017 Å, with angles of 90.00, 127.36 and 90.00 degrees. The inequivalent atoms are Na at (0.0000, 0.0246, 0.2500), Cd at (0.2500, 0.2500, 0.0000) and Bi at (0.1217, 0.4973, 0.6215).

=====

Entry 5:
NaCd2Bi2 after structural relaxation. Source: the Alexandria database, functional PBE.

As for the formation energy: -0.03 eV per atom. The value obtained for the density of states at the Fermi level is 0.366 states/eV/atom. The uncorrected energy is -2.210 eV/atom. As for the crystal system: tetragonal.

The space group is P4/mbm (No. 127) and the conventional cell measures 9.0663, 9.0663 and 3.6126 Å, with angles of 90.00, 90.00 and 90.00 degrees. The inequivalent atoms are Na at (0.0000, 0.0000, 0.0000), Cd at (0.1323, 0.3677, 0.5000) and Bi at (0.1650, 0.6650, 0.0000).

=====

Entry 6:
Na5CdBi4 after structural relaxation. Source: the Alexandria database, functional PBE.

As for the formation energy: -0.26 eV per atom. The value obtained for the density of states at the Fermi level is 0.383 states/eV/atom. The uncorrected energy is -2.560 eV/atom. As for the crystal system: tetragonal.

The space group is P4/mmm (No. 123) and the conventional cell measures 3.4517, 3.4517 and 24.0098 Å, with angles of 90.00, 90.00 and 90.00 degrees. The inequivalent atoms are Na at (0.0000, 0.0000, 0.0000), Na at (0.0000, 0.0000, 0.2035), Na at (0.0000, 0.0000, 0.4044), Cd at (0.5000, 0.5000, 0.5000), Bi at (0.5000, 0.5000, 0.1022) and Bi at (0.5000, 0.5000, 0.3061).

=====

Entry 7:
Na2Cd5Bi4 after structural relaxation. Source: the Alexandria database, functional PBE.

As for the formation energy: 0.01 eV per atom. The value obtained for the density of states at the Fermi level is 0.501 states/eV/atom. The uncorrected energy is -2.052 eV/atom. As for the crystal system: orthorhombic.

The space group is Fmmm (No. 69) and the conventional cell measures 5.8651, 12.2781 and 20.1463 Å, with angles of 90.00, 90.00 and 90.00 degrees. The inequivalent atoms are Na at (0.0000, 0.0000, 0.1853), Cd at (0.0000, 0.0000, 0.5000), Cd at (0.2500, 0.2500, 0.0000), Cd at (0.2500, 0.2500, 0.2500) and Bi at (0.0000, 0.1282, 0.3624).

=====

Entry 8:
NaCd2Bi2 after structural relaxation. Source: the Alexandria database, functional PBE.

As for the formation energy: -0.08 eV per atom. The value obtained for the density of states at the Fermi level is 0.366 states/eV/atom. The uncorrected energy is -2.259 eV/atom. As for the crystal system: tetragonal.

The space group is I4/mmm (No. 139) and the conventional cell measures 4.9223, 4.9223 and 13.2150 Å, with angles of 90.00, 90.00 and 90.00 degrees. The inequivalent atoms are Na at (0.0000, 0.0000, 0.0000), Cd at (0.0000, 0.0000, 0.3964) and Bi at (0.0000, 0.5000, 0.2500).

=====

Entry 9:
Na6Cd23Bi after structural relaxation. Source: the Alexandria database, functional PBE.

As for the formation energy: -0.08 eV per atom. The value obtained for the density of states at the Fermi level is 0.372 states/eV/atom. The uncorrected energy is -1.172 eV/atom. As for the crystal system: cubic.

The space group is Fm-3m (No. 225) and the conventional cell measures 14.2120, 14.2120 and 14.2120 Å, with angles of 90.00, 90.00 and 90.00 degrees. The inequivalent atoms are Na at (0.0000, 0.0000, 0.2314), Cd at (0.0000, 0.0000, 0.5000), Cd at (0.0000, 0.2500, 0.2500), Cd at (0.1244, 0.1244, 0.3756), Cd at (0.1484, 0.1484, 0.1484) and Bi at (0.0000, 0.0000, 0.0000).

=====

Entry 10:
NaCd2Bi2 after structural relaxation. Source: the Alexandria database, functional PBE.

As for the formation energy: -0.11 eV per atom. The value obtained for the density of states at the Fermi level is 0.225 states/eV/atom. The uncorrected energy is -2.290 eV/atom. As for the crystal system: monoclinic.

The space group is C2/m (No. 12) and the conventional cell measures 15.3581, 5.5986 and 3.4507 Å, with angles of 90.00, 102.77 and 90.00 degrees. The inequivalent atoms are Na at (0.0000, 0.0000, 0.0000), Cd at (0.2037, 0.0000, 0.7020) and Bi at (0.1148, 0.5000, 0.6193).

=====

Entry 11:
Na12Cd6Bi after structural relaxation. Source: the Alexandria database, functional PBE.

As for the formation energy: -0.08 eV per atom. The value obtained for the density of states at the Fermi level is 0.465 states/eV/atom. The uncorrected energy is -1.407 eV/atom. As for the crystal system: trigonal.

The space group is R-3 (No. 148, hexagonal axes) and the conventional cell measures 11.5531, 11.5531 and 14.5626 Å, with angles of 90.00, 90.00 and 120.00 degrees. The inequivalent atoms are Na at (0.0341, 0.1911, 0.3164), Na at (0.0600, 0.8418, 0.9132), Cd at (0.0245, 0.4352, 0.2010) and Bi at (0.0000, 0.0000, 0.5000).

=====

Entry 12:
Na3CdBi after structural relaxation. Source: the Alexandria database, functional PBE.

As for the formation energy: -0.09 eV per atom. The value obtained for the density of states at the Fermi level is 0.000 states/eV/atom. The uncorrected energy is -1.836 eV/atom. As for the crystal system: cubic.

The space group is Pm-3m (No. 221) and the conventional cell measures 6.0252, 6.0252 and 6.0252 Å, with angles of 90.00, 90.00 and 90.00 degrees. The inequivalent atoms are Na at (0.0000, 0.0000, 0.5000), Cd at (0.5000, 0.5000, 0.5000) and Bi at (0.0000, 0.0000, 0.0000).